Density functional theory data (PBE) for As2PSeO after structural relaxation.

Its crystal system is tetragonal. The formation energy without anion corrections comes out at 602 meV per atom.

Unit cell a=4.292 b=4.292 c=4.737 alpha=90.00 beta=90.00 gamma=90.00
Space group P4/mmm (No. 123)
Symmetry-distinct sites (fractional):
As (0.000, 0.500, 0.000)
P (0.000, 0.000, 0.500)
Se (0.500, 0.500, 0.500)
O (0.500, 0.500, 0.000)


Density functional theory data (PBE) for Li6Pm3Pb5 after structural relaxation.

Its crystal system is orthorhombic. The energy relative to the elements comes out at -0.43 eV per atom.

Unit cell a=4.640 b=13.853 c=10.231 alpha=90.00 beta=90.00 gamma=90.00
Space group Pmmn (No. 59, origin choice 2)
Symmetry-distinct sites (fractional):
Li (0.250, 0.077, 0.096)
Li (0.250, 0.250, 0.532)
Li (0.250, 0.250, 0.945)
Li (0.250, 0.589, 0.488)
Pm (0.250, 0.064, 0.741)
Pm (0.250, 0.750, 0.745)
Pb (0.250, 0.094, 0.362)
Pb (0.250, 0.623, 0.026)
Pb (0.250, 0.750, 0.303)


Number 1: spin magnetization 0.00 μB/atom, ρ 5.249 g/cm3. Number 2: spin magnetization 0.00 μB/atom, ρ 7.640 g/cm3.